The following is a DFT calculation (GGA-PBE) of a geometry-optimized K2Zn2Se2O structure.

POSCAR file:
```
K2Zn2Se2O
1.0
4.055 0.001 0.000
2.028 6.736 1.481
0.001 3.532 6.758
Se K Zn O
2 2 2 1
Cartesian
4.056 3.882 2.978 Se
2.028 6.387 5.261 Se
4.056 8.912 6.774 K
2.028 1.357 1.464 K
2.029 5.383 2.846 Zn
4.055 4.886 5.393 Zn
0.000 0.000 0.000 O
```

Values from the calculation:
raw total energy	-3.51	eV per atom
N(E_F)	0.00	states/eV/atom
symmetry	C2/m (12)